1.
Compound: BeReAu3
Source: Alexandria via LeMat-Bulk
Functional: GGA-PBEsol
Structure: relaxed

The structure in POSCAR format:
```
BeReAu3
1.0
4.268 0.000 0.000
0.000 4.268 0.000
0.000 0.000 4.268
Be Re Au
1 1 3
direct
0.000 0.000 0.000 Be
0.500 0.500 0.500 Re
0.000 0.000 0.500 Au
0.000 0.500 0.000 Au
0.500 0.000 0.000 Au
```

## Properties
Final energy, eV/atom: -4.948
Energy of formation from the pure elements, eV/atom: 0.8725
Calculated density, g cm⁻³: 16.79
V, Å³/f.u.: 77.7
Symmetry: Pm-3m, No. 221

---

2.
Compound: BeRh2Au
Source: Alexandria via LeMat-Bulk
Functional: GGA-PBEsol
Structure: relaxed

The structure in POSCAR format:
```
BeRh2Au
1.0
-1.891 1.891 3.732
1.891 -1.891 3.732
1.891 1.891 -3.732
Be Rh Au
1 2 1
direct
0.000 0.000 0.000 Be
0.500 0.500 0.000 Rh
0.750 0.250 0.500 Rh
0.250 0.750 0.500 Au
```

## Properties
Final energy, eV/atom: -6.029
Energy of formation from the pure elements, eV/atom: 0.0216
Calculated density, g cm⁻³: 12.81
V, Å³/f.u.: 53.4
Symmetry: I-4m2, No. 119

---

3.
Compound: Be2Rh2Au
Source: Alexandria via LeMat-Bulk
Functional: GGA-PBEsol
Structure: relaxed

The structure in POSCAR format:
```
Be2Rh2Au
1.0
6.315 0.000 0.000
0.000 6.315 0.000
0.000 0.000 2.937
Be Rh Au
4 4 2
direct
0.129 0.371 0.000 Be
0.371 0.871 0.000 Be
0.629 0.129 0.000 Be
0.871 0.629 0.000 Be
0.161 0.661 0.500 Rh
0.339 0.161 0.500 Rh
0.661 0.839 0.500 Rh
0.839 0.339 0.500 Rh
0.000 0.000 0.000 Au
0.500 0.500 0.000 Au
```

## Properties
Final energy, eV/atom: -6.041
Energy of formation from the pure elements, eV/atom: -0.4012
Calculated density, g cm⁻³: 11.93
V, Å³/f.u.: 58.6
Symmetry: P4/mbm, No. 127

---

4.
Compound: BeRuAu2
Source: Alexandria via LeMat-Bulk
Functional: GGA-PBEsol
Structure: relaxed

The structure in POSCAR format:
```
BeRuAu2
1.0
4.991 -1.386 0.000
4.991 1.386 0.000
-2.008 0.000 4.017
Be Ru Au
1 1 2
direct
0.000 0.000 0.000 Be
0.292 0.292 0.796 Ru
0.506 0.506 0.509 Au
0.718 0.718 0.221 Au
```

## Properties
Final energy, eV/atom: -5.344
Energy of formation from the pure elements, eV/atom: 0.1613
Calculated density, g cm⁻³: 15.06
V, Å³/f.u.: 55.6
Symmetry: Cm, No. 8

---

5.
Compound: Be2RuAu
Source: Alexandria via LeMat-Bulk
Functional: GGA-PBEsol
Structure: relaxed

The structure in POSCAR format:
```
Be2RuAu
1.0
3.898 0.000 0.000
0.000 3.898 0.000
0.000 0.000 2.968
Be Ru Au
2 1 1
direct
0.000 0.500 0.000 Be
0.500 0.000 0.000 Be
0.000 0.000 0.500 Ru
0.500 0.500 0.500 Au
```

## Properties
Offset from the most stable computed form, meV per atom: 2
Final energy, eV/atom: -5.806
Energy of formation from the pure elements, eV/atom: -0.2823
Calculated density, g cm⁻³: 11.64
V, Å³/f.u.: 45.1
Symmetry: P4/mmm, No. 123

---

6.
Compound: BeRuAu2
Source: Alexandria via LeMat-Bulk
Functional: GGA-PBEsol
Structure: relaxed

The structure in POSCAR format:
```
BeRuAu2
1.0
3.274 0.000 0.000
0.000 1.452 5.934
0.000 -1.452 5.934
Be Ru Au
1 1 2
direct
0.000 0.000 0.000 Be
0.500 0.562 0.562 Ru
0.000 0.209 0.209 Au
0.500 0.860 0.860 Au
```

## Properties
Final energy, eV/atom: -5.402
Energy of formation from the pure elements, eV/atom: 0.1033
Calculated density, g cm⁻³: 14.84
V, Å³/f.u.: 56.4
Symmetry: Amm2, No. 38